An optimized crystal structure of ThInPb, computed with GGA-PBE.

```
6
Lattice="2.315 -8.379 0.000 2.315 8.379 0.000 0.000 0.000 4.544" Properties=species:S:1:pos:R:3 pbc="T T T"
Th 2.315 6.785 3.408
Th 2.315 -6.785 1.136
In 2.315 4.181 1.136
In 2.315 -4.181 3.408
Pb 2.315 1.235 3.408
Pb 2.315 -1.235 1.136
```

Calculated values
space-group type	Cmcm
energy of formation from the pure elements	-0.25	eV per atom
E	-4.87	eV/atom